This record from Alexandria via LeMat-Bulk describes TaIr2Se after structural relaxation. The functional is GGA-PBE.

Unit cell a=6.3544 b=6.3544 c=6.3544 alpha=90.00 beta=90.00 gamma=90.00
Space group F-43m (No. 216)
Unique sites:
Ta1 0.0000 0.0000 0.0000 x4
Ir1 0.0000 0.0000 0.5000 x4
Ir2 0.2500 0.2500 0.7500 x4
Se1 0.2500 0.2500 0.2500 x4

Output
total moment: 0.000 Bohr magnetons per cell
formation energy (no corrections): 0.16 eV per atom